A relaxed MgZnOs2 crystal, computed with PBE.

Output
- Calculated volume: 14.90 Å³/atom
- M_tot: 0.00 μB per atom
- DOS(E_F): 0.698 states/eV per atom
- Energy of formation from the pure elements: 1.06 eV per formula unit

a = 2.716 Å, b = 4.477 Å, c = 4.927 Å
α = 90.00°, β = 95.82°, γ = 90.00°
Space group P2/m (No. 10)
One atom of each set of equivalent atoms:
Mg (0.000, 0.000, 0.000) [1 per cell]
Zn (0.500, 0.000, 0.500) [1 per cell]
Os (0.284, 0.500, 0.742) [2 per cell]



A relaxed MgZnOs2 crystal, computed with PBE.

Output
- Calculated volume: 15.05 Å³/atom
- M_tot: 0.00 μB per atom
- DOS(E_F): 0.491 states/eV per atom
- Energy of formation from the pure elements: 0.58 eV per formula unit

a = 2.836 Å, b = 3.712 Å, c = 5.716 Å
α = 90.00°, β = 90.00°, γ = 90.00°
Space group Pmm2 (No. 25)
One atom of each set of equivalent atoms:
Mg (0.000, 0.000, 0.000) [1 per cell]
Zn (0.500, 0.500, 0.755) [1 per cell]
Os (0.000, 0.000, 0.491) [1 per cell]
Os (0.500, 0.500, 0.281) [1 per cell]



A relaxed MgZn2Os crystal, computed with PBE.

Output
- Calculated volume: 15.31 Å³/atom
- M_tot: 0.00 μB per atom
- DOS(E_F): 0.806 states/eV per atom
- Energy of formation from the pure elements: 0.72 eV per formula unit

a = 3.283 Å, b = 3.283 Å, c = 5.684 Å
α = 90.00°, β = 90.00°, γ = 90.00°
Space group P4mm (No. 99)
One atom of each set of equivalent atoms:
Mg (0.000, 0.000, 0.000) [1 per cell]
Zn (0.000, 0.000, 0.470) [1 per cell]
Zn (0.500, 0.500, 0.723) [1 per cell]
Os (0.500, 0.500, 0.249) [1 per cell]



A relaxed MgZnOs2 crystal, computed with PBE.

Output
- Calculated volume: 14.44 Å³/atom
- M_tot: 0.00 μB per atom
- DOS(E_F): 1.379 states/eV per atom
- Energy of formation from the pure elements: 2.05 eV per formula unit

a = 4.265 Å, b = 4.265 Å, c = 3.175 Å
α = 90.00°, β = 90.00°, γ = 90.00°
Space group P4/mmm (No. 123)
One atom of each set of equivalent atoms:
Mg (0.000, 0.000, 0.000) [1 per cell]
Zn (0.500, 0.500, 0.000) [1 per cell]
Os (0.000, 0.500, 0.500) [2 per cell]



A relaxed MgZnOs2 crystal, computed with PBE.

Output
- Calculated volume: 15.48 Å³/atom
- M_tot: 0.00 μB per atom
- DOS(E_F): 0.569 states/eV per atom
- Energy of formation from the pure elements: 0.20 eV per formula unit

a = 2.847 Å, b = 2.847 Å, c = 7.642 Å
α = 90.00°, β = 90.00°, γ = 90.00°
Space group P4mm (No. 99)
One atom of each set of equivalent atoms:
Mg (0.000, 0.000, 0.000) [1 per cell]
Zn (0.500, 0.500, 0.715) [1 per cell]
Os (0.000, 0.000, 0.474) [1 per cell]
Os (0.500, 0.500, 0.258) [1 per cell]



A relaxed MgZnOs4 crystal, computed with PBE.

Output
- Calculated volume: 16.35 Å³/atom
- M_tot: 0.00 μB per atom
- DOS(E_F): 1.304 states/eV per atom
- Energy of formation from the pure elements: 3.00 eV per formula unit

a = 7.321 Å, b = 7.321 Å, c = 7.321 Å
α = 90.00°, β = 90.00°, γ = 90.00°
Space group F-43m (No. 216)
One atom of each set of equivalent atoms:
Mg (0.000, 0.000, 0.000) [4 per cell]
Zn (0.250, 0.250, 0.250) [4 per cell]
Os (0.125, 0.125, 0.625) [16 per cell]



A relaxed MgZnOs crystal, computed with PBE.

Output
- Calculated volume: 17.37 Å³/atom
- Excess energy over the best structure of this formula in the dataset: 521 meV per atom
- M_tot: 0.00 μB per atom
- DOS(E_F): 1.083 states/eV per atom
- Energy of formation from the pure elements: 1.92 eV per formula unit

a = 5.929 Å, b = 5.929 Å, c = 5.929 Å
α = 90.00°, β = 90.00°, γ = 90.00°
Space group F-43m (No. 216)
One atom of each set of equivalent atoms:
Mg (0.000, 0.000, 0.000) [4 per cell]
Zn (0.250, 0.250, 0.750) [4 per cell]
Os (0.000, 0.000, 0.500) [4 per cell]



A relaxed MgZn2Os crystal, computed with PBE.

Output
- Calculated volume: 15.17 Å³/atom
- M_tot: 0.00 μB per atom
- DOS(E_F): 0.292 states/eV per atom
- Energy of formation from the pure elements: 0.46 eV per formula unit

a = 2.672 Å, b = 4.462 Å, c = 5.163 Å
α = 90.00°, β = 99.48°, γ = 90.00°
Space group P2/m (No. 10)
One atom of each set of equivalent atoms:
Mg (0.000, 0.000, 0.000) [1 per cell]
Zn (0.263, 0.500, 0.736) [2 per cell]
Os (0.500, 0.000, 0.500) [1 per cell]



A relaxed MgZn2Os crystal, computed with PBE.

Output
- Calculated volume: 15.62 Å³/atom
- M_tot: 0.00 μB per atom
- DOS(E_F): 0.647 states/eV per atom
- Energy of formation from the pure elements: 0.76 eV per formula unit

a = 2.8463 Å, b = 2.8463 Å, c = 26.7094 Å
α = 90.00°, β = 90.00°, γ = 120.00°
Space group R-3m (No. 166, hexagonal axes)
One atom of each set of equivalent atoms:
Mg (0.0000, 0.0000, 0.0000) [3 per cell]
Zn (0.0000, 0.0000, 0.2458) [6 per cell]
Os (0.0000, 0.0000, 0.5000) [3 per cell]



A relaxed MgZn2Os crystal, computed with PBE.

Output
- Calculated volume: 15.15 Å³/atom
- M_tot: 0.00 μB per atom
- DOS(E_F): 0.319 states/eV per atom
- Energy of formation from the pure elements: 0.53 eV per formula unit

a = 9.329 Å, b = 2.712 Å, c = 4.839 Å
α = 90.00°, β = 98.19°, γ = 90.00°
Space group Cm (No. 8)
One atom of each set of equivalent atoms:
Mg (0.000, 0.000, 0.000) [2 per cell]
Zn (0.238, 0.000, 0.732) [2 per cell]
Zn (0.488, 0.000, 0.488) [2 per cell]
Os (0.249, 0.500, 0.238) [2 per cell]



A relaxed MgZnOs2 crystal, computed with PBE.

Output
- Calculated volume: 15.38 Å³/atom
- M_tot: 0.00 μB per atom
- DOS(E_F): 0.973 states/eV per atom
- Energy of formation from the pure elements: 1.55 eV per formula unit

a = 2.885 Å, b = 4.658 Å, c = 9.155 Å
α = 90.00°, β = 90.00°, γ = 90.00°
Space group Cmm2 (No. 35)
One atom of each set of equivalent atoms:
Mg (0.000, 0.000, 0.000) [2 per cell]
Zn (0.000, 0.500, 0.263) [2 per cell]
Os (0.000, 0.000, 0.508) [2 per cell]
Os (0.000, 0.500, 0.748) [2 per cell]



A relaxed MgZn2Os crystal, computed with PBE.

Output
- Calculated volume: 14.85 Å³/atom
- M_tot: 0.00 μB per atom
- DOS(E_F): 0.567 states/eV per atom
- Energy of formation from the pure elements: 0.31 eV per formula unit

a = 3.379 Å, b = 4.106 Å, c = 8.560 Å
α = 90.00°, β = 90.00°, γ = 90.00°
Space group Imm2 (No. 44)
One atom of each set of equivalent atoms:
Mg (0.000, 0.000, 0.000) [2 per cell]
Zn (0.000, 0.000, 0.499) [2 per cell]
Zn (0.000, 0.500, 0.240) [2 per cell]
Os (0.000, 0.500, 0.757) [2 per cell]



> What is the formula in the first record?

MgZnOs2



Repeat the seventh record exactly.
A relaxed MgZnOs crystal, computed with PBE.

Output
- Calculated volume: 17.37 Å³/atom
- Excess energy over the best structure of this formula in the dataset: 521 meV per atom
- M_tot: 0.00 μB per atom
- DOS(E_F): 1.083 states/eV per atom
- Energy of formation from the pure elements: 1.92 eV per formula unit

a = 5.929 Å, b = 5.929 Å, c = 5.929 Å
α = 90.00°, β = 90.00°, γ = 90.00°
Space group F-43m (No. 216)
One atom of each set of equivalent atoms:
Mg (0.000, 0.000, 0.000) [4 per cell]
Zn (0.250, 0.250, 0.750) [4 per cell]
Os (0.000, 0.000, 0.500) [4 per cell]



> Look up the DOS(E_F) of the tenth one.

0.319 states/eV per atom



> What is the DOS(E_F) in the twelfth record?

0.567 states/eV per atom